(1)
This record from Alexandria describes HfAg2Pd2 after structural relaxation. The functional is PBE-GGA.

## Properties
* energy of formation from the pure elements: -14.47 kJ/mol of atoms
* magnetic moment: 0.00 μB per cell
* calculated density: 11.0 g cm⁻³

abc: 6.9179 6.9179 3.8201
angles: 90.00 90.00 90.00
Sites, in units of the cell vectors:
1 Hf 0.0000 0.0000 0.0000
2 Hf 0.5000 0.5000 0.0000
3 Pd 0.3604 0.8604 0.0000
4 Pd 0.8604 0.6396 0.0000
5 Pd 0.6396 0.1396 0.0000
6 Pd 0.1396 0.3604 0.0000
7 Ag 0.1590 0.6590 0.5000
8 Ag 0.6590 0.8410 0.5000
9 Ag 0.8410 0.3410 0.5000
10 Ag 0.3410 0.1590 0.5000


(2)
This record from Alexandria describes Hf3Ag2Pd4 after structural relaxation. The functional is PBE-GGA.

## Properties
* energy of formation from the pure elements: -50.32 kJ/mol of atoms
* magnetic moment: 0.00 μB per cell
* calculated density: 12.3 g cm⁻³

abc: 4.9754 8.2325 8.2325
angles: 73.06 82.27 82.27
Sites, in units of the cell vectors:
1 Hf 0.0883 0.9543 0.7152
2 Hf 0.4117 0.2848 0.0457
3 Hf 0.9117 0.0457 0.2848
4 Hf 0.5883 0.7152 0.9543
5 Hf 0.2500 0.3617 0.6383
6 Hf 0.7500 0.6383 0.3617
7 Ag 0.2014 0.7333 0.4892
8 Ag 0.2986 0.5108 0.2667
9 Ag 0.7986 0.2667 0.5108
10 Ag 0.7014 0.4892 0.7333
11 Pd 0.5299 0.0677 0.8201
12 Pd 0.9701 0.1799 0.9323
13 Pd 0.4701 0.9323 0.1799
14 Pd 0.0299 0.8201 0.0677
15 Pd 0.6505 0.8512 0.5921
16 Pd 0.8495 0.4079 0.1488
17 Pd 0.3495 0.1488 0.4079
18 Pd 0.1505 0.5921 0.8512


(3)
This record from Alexandria describes HfAgPd after structural relaxation. The functional is PBE-GGA.

## Properties
* energy of formation from the pure elements: -47.17 kJ/mol of atoms
* magnetic moment: 0.00 μB per cell
* calculated density: 12.1 g cm⁻³

abc: 4.9430 4.9436 5.0463
angles: 90.00 119.33 90.00
Sites, in units of the cell vectors:
1 Hf 0.8885 0.6275 0.8366
2 Hf 0.3689 0.1275 0.7970
3 Ag 0.7033 0.1275 0.4658
4 Ag 0.5541 0.6275 0.1677
5 Pd 0.0312 0.1275 0.1216
6 Pd 0.2262 0.6275 0.5120


(4)
This record from Alexandria describes HfAgPd4 after structural relaxation. The functional is PBE-GGA.

## Properties
* energy of formation from the pure elements: -26.88 kJ/mol of atoms
* magnetic moment: 0.00 μB per cell
* calculated density: 11.3 g cm⁻³

abc: 2.9292 4.7323 8.0775
angles: 83.88 79.55 71.97
Sites, in units of the cell vectors:
1 Hf 0.5000 0.5000 0.5000
2 Ag 0.0000 0.0000 0.0000
3 Pd 0.6524 0.5304 0.1647
4 Pd 0.3476 0.4696 0.8353
5 Pd 0.1532 0.0429 0.6506
6 Pd 0.8468 0.9571 0.3494


(5)
This record from Alexandria describes PmHfAgPd after structural relaxation. The functional is PBE-GGA.

## Properties
* energy of formation from the pure elements: -26.00 kJ/mol of atoms
* magnetic moment: 0.00 μB per cell
* calculated density: 10.3 g cm⁻³

abc: 4.9696 4.9696 4.9696
angles: 60.00 60.00 60.00
Sites, in units of the cell vectors:
1 Hf 0.5000 0.5000 0.5000
2 Pd 0.7500 0.7500 0.7500
3 Ag 0.2500 0.2500 0.2500
4 Pm 0.0000 0.0000 0.0000


(6)
This record from Alexandria describes SrHf2AgPd after structural relaxation. The functional is PBE-GGA.

## Properties
* energy of formation from the pure elements: 35.39 kJ/mol of atoms
* magnetic moment: 0.00 μB per cell
* calculated density: 8.0 g cm⁻³

abc: 5.0474 5.3751 5.0474
angles: 90.00 90.00 90.00
Sites, in units of the cell vectors:
1 Sr 0.5000 0.5000 0.5000
2 Hf 0.0000 0.0000 0.5000
3 Hf 0.5000 0.0000 0.0000
4 Pd 0.0000 0.0000 0.0000
5 Ag 0.0000 0.5000 0.0000


(7)
This record from Alexandria describes HfTlAg2Pd after structural relaxation. The functional is PBE-GGA.

## Properties
* energy of formation from the pure elements: 118.44 kJ/mol of atoms
* magnetic moment: 0.00 μB per cell
* calculated density: 7.9 g cm⁻³

abc: 5.1725 5.5691 5.1725
angles: 90.00 90.00 90.00
Sites, in units of the cell vectors:
1 Tl 0.0000 0.5000 0.0000
2 Hf 0.0000 0.0000 0.0000
3 Pd 0.5000 0.5000 0.5000
4 Ag 0.0000 0.0000 0.5000
5 Ag 0.5000 0.0000 0.0000


(8)
This record from Alexandria describes TmHfAgPd after structural relaxation. The functional is PBE-GGA.

## Properties
* energy of formation from the pure elements: -37.72 kJ/mol of atoms
* magnetic moment: 0.00 μB per cell
* calculated density: 11.4 g cm⁻³

abc: 4.8670 4.8670 4.8670
angles: 60.00 60.00 60.00
Sites, in units of the cell vectors:
1 Tm 0.0000 0.0000 0.0000
2 Hf 0.5000 0.5000 0.5000
3 Pd 0.7500 0.7500 0.7500
4 Ag 0.2500 0.2500 0.2500


(9)
This record from Alexandria describes HfV2AgPd after structural relaxation. The functional is PBE-GGA.

## Properties
* energy of formation from the pure elements: 151.06 kJ/mol of atoms
* magnetic moment: 0.00 μB per cell
* calculated density: 7.6 g cm⁻³

abc: 4.6193 5.0815 4.6193
angles: 90.00 90.00 90.00
Sites, in units of the cell vectors:
1 Hf 0.0000 0.5000 0.0000
2 Pd 0.5000 0.5000 0.5000
3 Ag 0.0000 0.0000 0.0000
4 V 0.0000 0.0000 0.5000
5 V 0.5000 0.0000 0.0000


(10)
This record from Alexandria describes YHfAgPd after structural relaxation. The functional is PBE-GGA.

## Properties
* energy of formation from the pure elements: -33.97 kJ/mol of atoms
* magnetic moment: 0.00 μB per cell
* calculated density: 9.6 g cm⁻³

abc: 4.9073 4.9073 4.9073
angles: 60.00 60.00 60.00
Sites, in units of the cell vectors:
1 Y 0.7500 0.7500 0.7500
2 Hf 0.2500 0.2500 0.2500
3 Pd 0.5000 0.5000 0.5000
4 Ag 0.0000 0.0000 0.0000


(11)
This record from Alexandria describes HfZrAgPd after structural relaxation. The functional is PBE-GGA.

## Properties
* energy of formation from the pure elements: -38.63 kJ/mol of atoms
* magnetic moment: 0.00 μB per cell
* calculated density: 10.4 g cm⁻³

abc: 3.4117 3.4117 6.6526
angles: 90.00 90.00 90.00
Sites, in units of the cell vectors:
1 Hf 0.5000 0.5000 0.1400
2 Zr 0.0000 0.0000 0.8456
3 Ag 0.5000 0.5000 0.5927
4 Pd 0.0000 0.0000 0.3496


(12)
This record from Alexandria describes HfZrAgPd after structural relaxation. The functional is PBE-GGA.

## Properties
* energy of formation from the pure elements: -23.62 kJ/mol of atoms
* magnetic moment: 0.00 μB per cell
* calculated density: 10.4 g cm⁻³

abc: 4.7839 4.7839 4.7839
angles: 60.00 60.00 60.00
Sites, in units of the cell vectors:
1 Zr 0.0000 0.0000 0.0000
2 Hf 0.5000 0.5000 0.5000
3 Pd 0.7500 0.7500 0.7500
4 Ag 0.2500 0.2500 0.2500


(13)
This record from Alexandria describes HfZrAgPd2 after structural relaxation. The functional is PBE-GGA.

## Properties
* energy of formation from the pure elements: 91.03 kJ/mol of atoms
* magnetic moment: 0.00 μB per cell
* calculated density: 7.9 g cm⁻³

abc: 4.8738 5.2062 4.8738
angles: 90.00 90.00 90.00
Sites, in units of the cell vectors:
1 Zr 0.0000 0.0000 0.0000
2 Hf 0.0000 0.5000 0.0000
3 Pd 0.0000 0.0000 0.5000
4 Pd 0.5000 0.0000 0.0000
5 Ag 0.5000 0.5000 0.5000


(14)
This record from Alexandria describes HfZrAgPd2 after structural relaxation. The functional is PBE-GGA.

## Properties
* energy of formation from the pure elements: 59.54 kJ/mol of atoms
* magnetic moment: 0.00 μB per cell
* calculated density: 8.4 g cm⁻³

abc: 4.7894 5.0634 4.7894
angles: 90.00 90.00 90.00
Sites, in units of the cell vectors:
1 Zr 0.5000 0.5000 0.5000
2 Hf 0.0000 0.0000 0.0000
3 Pd 0.0000 0.0000 0.5000
4 Pd 0.5000 0.0000 0.0000
5 Ag 0.0000 0.5000 0.0000


(15)
This record from Alexandria describes PmHfAg2 after structural relaxation. The functional is PBE-GGA.

## Properties
* energy of formation from the pure elements: -4.94 kJ/mol of atoms
* magnetic moment: 0.89 μB per cell
* calculated density: 9.9 g cm⁻³

abc: 3.4625 3.4625 7.5530
angles: 90.00 90.00 90.00
Sites, in units of the cell vectors:
1 Hf 0.5000 0.5000 0.0000
2 Ag 0.0000 0.0000 0.7865
3 Ag 0.0000 0.0000 0.2135
4 Pm 0.5000 0.5000 0.5000


(16)
This record from Alexandria describes PmHfAgPt after structural relaxation. The functional is PBE-GGA.

## Properties
* energy of formation from the pure elements: -44.09 kJ/mol of atoms
* magnetic moment: 0.00 μB per cell
* calculated density: 12.1 g cm⁻³

abc: 4.9505 4.9505 4.9505
angles: 60.00 60.00 60.00
Sites, in units of the cell vectors:
1 Hf 0.5000 0.5000 0.5000
2 Ag 0.2500 0.2500 0.2500
3 Pt 0.7500 0.7500 0.7500
4 Pm 0.0000 0.0000 0.0000


(17)
This record from Alexandria describes PmHfAgRh after structural relaxation. The functional is PBE-GGA.

## Properties
* energy of formation from the pure elements: -29.51 kJ/mol of atoms
* magnetic moment: 0.00 μB per cell
* calculated density: 10.6 g cm⁻³

abc: 4.9142 4.9142 4.9142
angles: 60.00 60.00 60.00
Sites, in units of the cell vectors:
1 Rh 0.7500 0.7500 0.7500
2 Hf 0.5000 0.5000 0.5000
3 Ag 0.2500 0.2500 0.2500
4 Pm 0.0000 0.0000 0.0000


(18)
This record from Alexandria describes Pm3HfAg3Se8 after structural relaxation. The functional is PBE-GGA.

## Properties
* magnetic moment: 0.00 μB per cell
* calculated density: 6.5 g cm⁻³
* formation energy from raw total energies: -1179 meV/atom

abc: 8.3958 8.3947 8.1664
angles: 121.12 90.00 120.00
Sites, in units of the cell vectors:
1 Pm 0.5000 0.0000 0.5000
2 Pm 0.5000 0.5000 0.5000
3 Pm 0.0000 0.5000 0.5000
4 Hf 0.0000 0.0000 0.5000
5 Ag 0.0000 0.0000 0.0000
6 Ag 0.0000 0.5000 0.0000
7 Ag 0.5000 0.5000 0.0000
8 Se 0.2486 0.4972 0.2471
9 Se 0.7514 0.5028 0.7529
10 Se 0.7667 0.5334 0.2640
11 Se 0.2333 0.4666 0.7360
12 Se 0.7667 0.9959 0.2638
13 Se 0.2333 0.0041 0.7362
14 Se 0.2292 0.9959 0.2638
15 Se 0.7708 0.0041 0.7362


(19)
This record from Alexandria describes PrHfAg after structural relaxation. The functional is PBE-GGA.

## Properties
* energy of formation from the pure elements: 1.60 kJ/mol of atoms
* magnetic moment: 0.00 μB per cell
* calculated density: 9.5 g cm⁻³

abc: 3.4481 3.4481 6.7668
angles: 104.76 104.76 90.00
Sites, in units of the cell vectors:
1 Pr 0.0013 0.0013 0.0025
2 Hf 0.6853 0.6853 0.3706
3 Ag 0.3134 0.3134 0.6269


(20)
This record from Alexandria describes PrHfAg after structural relaxation. The functional is PBE-GGA.

## Properties
* energy of formation from the pure elements: 0.70 kJ/mol of atoms
* magnetic moment: 0.00 μB per cell
* calculated density: 9.3 g cm⁻³

abc: 3.8345 3.8345 10.4322
angles: 90.00 90.00 90.00
Sites, in units of the cell vectors:
1 Ag 0.0000 0.5000 0.5699
2 Ag 0.5000 0.0000 0.4301
3 Pr 0.5000 0.0000 0.7395
4 Pr 0.0000 0.5000 0.2605
5 Hf 0.0000 0.5000 0.9407
6 Hf 0.5000 0.0000 0.0593